Entry 1:
Computed, not measured: CeTi2GeO8 after structural relaxation at the PBE-GGA level of DFT.

Geometry as POSCAR:
```
CeTi2GeO8
1.0
4.7075 0.1006 0.0067
0.1494 4.7068 0.0050
0.0189 0.0213 6.4489
O Ce Ti Ge
8 1 2 1
Cartesian
1.5778 1.5648 3.3948
1.0535 3.7834 1.3816
3.8223 1.0453 5.0791
3.7917 1.0134 1.3825
1.4731 1.4620 6.4330
3.2981 3.2639 3.0659
3.4027 3.3667 0.0277
1.0842 3.8152 5.0781
0.0094 0.0106 3.2245
2.5993 2.5731 1.4779
2.2766 2.2556 4.9828
0.0000 0.0000 0.0000
```

## Properties
Fermi-level density of states (states/eV/f.u.): 0.0
Symmetry: C2/m, No. 12



Entry 2:
Computed, not measured: CeTlGeO5 after structural relaxation at the PBE-GGA level of DFT.

Geometry as POSCAR:
```
CeTlGeO5
1.0
6.0315 0.0601 -0.0263
-1.7032 5.7863 -0.0263
-1.8314 -2.4737 7.4706
Ge Tl Ce O
2 2 2 10
Cartesian
-0.5815 2.0838 5.5767
3.0785 1.2889 1.8414
0.4153 3.2605 1.8414
2.0816 0.1122 5.5767
-0.9157 -1.2369 3.7353
0.0000 0.0000 0.0000
-1.4845 4.6670 1.8414
-2.0972 1.7815 6.4710
-0.1532 0.8056 4.4123
-0.7349 3.6217 4.6824
4.5941 1.5912 0.9470
1.7309 1.3255 0.6769
3.2318 -0.2490 2.7357
3.9814 -1.2943 5.5767
0.7660 2.0472 6.7411
2.6501 2.5671 3.0058
```

## Properties
Fermi-level density of states (states/eV/f.u.): 4.0
Symmetry: C2/c, No. 15



Entry 3:
Computed, not measured: CeTl2Ge2O6 after structural relaxation at the PBE-GGA level of DFT.

Geometry as POSCAR:
```
CeTl2Ge2O6
1.0
6.1024 0.0000 0.0000
-3.0512 5.1939 -0.3822
0.0000 -3.3981 6.3411
O Tl Ce Ge
6 2 1 2
Cartesian
1.4366 -2.2160 4.6844
0.0000 1.3526 2.1006
4.6658 -2.2160 4.6844
-1.6146 4.0118 1.2745
3.0512 0.4432 3.8583
1.6146 4.0118 1.2745
3.0512 1.5847 1.0093
0.0000 0.2111 4.9496
3.0512 -1.6990 3.1705
3.0512 1.9961 4.7338
0.0000 -0.2003 1.2252
```

## Properties
Symmetry: C2/m, No. 12



Entry 4:
Computed, not measured: CeTmGe2O8 after structural relaxation at the PBE-GGA level of DFT.

Geometry as POSCAR:
```
CeTmGe2O8
1.0
5.0923 0.0000 0.0000
0.0000 5.0923 0.0000
-2.5462 -2.5462 5.5830
O Ge Ce Tm
8 2 1 1
Cartesian
1.3076 -0.8212 4.6798
3.3674 3.8537 0.9032
1.3090 1.7520 3.7177
-1.3076 0.8212 4.6798
-0.7942 1.2372 1.8654
0.7942 3.8552 1.8654
1.7250 1.2386 0.9032
-1.3090 3.3403 3.7177
0.0000 2.5462 2.7915
2.5462 2.5462 0.0000
2.5462 0.0000 2.7915
0.0000 0.0000 0.0000
```

## Properties
Fermi-level density of states (states/eV/f.u.): 7.5
Symmetry: I-4, No. 82



Density in kg/m3, matching the order above: 5076, 6333, 6796, 6679
Energy relative to the elements, uncorrected in eV/atom, matching the order above: -2.6596, -1.9584, -1.8019, -2.3893